1.
# TiSi23 | the Alexandria database | PBE | optimized geometry
data_TiSi23
_space_group_name_H-M_alt 'P 1'
_space_group_IT_number 1
_cell_length_a 10.1954
_cell_length_b 10.1954
_cell_length_c 10.1954
_cell_angle_alpha 90.00
_cell_angle_beta 90.00
_cell_angle_gamma 90.00
loop_
_space_group_symop_operation_xyz
'x,y,z'
loop_
_atom_site_label
_atom_site_fract_x
_atom_site_fract_y
_atom_site_fract_z
Ti1 0.0000 0.0000 0.0000
Ti2 0.5000 0.5000 0.5000
Si1 0.2500 0.0000 0.5000
Si2 0.7500 0.0000 0.5000
Si3 0.0000 0.5000 0.2500
Si4 0.0000 0.5000 0.7500
Si5 0.5000 0.2500 0.0000
Si6 0.5000 0.7500 0.0000
Si7 0.6820 0.6820 0.6820
Si8 0.6820 0.3180 0.3180
Si9 0.3180 0.6820 0.3180
Si10 0.3180 0.3180 0.6820
Si11 0.8180 0.8180 0.8180
Si12 0.8180 0.1820 0.1820
Si13 0.1820 0.8180 0.1820
Si14 0.1820 0.1820 0.8180
Si15 0.3180 0.3180 0.3180
Si16 0.3180 0.6820 0.6820
Si17 0.6820 0.3180 0.6820
Si18 0.6820 0.6820 0.3180
Si19 0.1820 0.1820 0.1820
Si20 0.1820 0.8180 0.8180
Si21 0.8180 0.1820 0.8180
Si22 0.8180 0.8180 0.1820
Si23 0.0000 0.6920 0.8837
Si24 0.0000 0.3080 0.1163
Si25 0.0000 0.6920 0.1163
Si26 0.0000 0.3080 0.8837
Si27 0.6920 0.8837 0.0000
Si28 0.6920 0.1163 0.0000
Si29 0.3080 0.8837 0.0000
Si30 0.3080 0.1163 0.0000
Si31 0.8837 0.0000 0.6920
Si32 0.8837 0.0000 0.3080
Si33 0.1163 0.0000 0.3080
Si34 0.1163 0.0000 0.6920
Si35 0.8080 0.5000 0.6163
Si36 0.8080 0.5000 0.3837
Si37 0.1920 0.5000 0.3837
Si38 0.1920 0.5000 0.6163
Si39 0.5000 0.6163 0.8080
Si40 0.5000 0.3837 0.1920
Si41 0.5000 0.6163 0.1920
Si42 0.5000 0.3837 0.8080
Si43 0.6163 0.8080 0.5000
Si44 0.6163 0.1920 0.5000
Si45 0.3837 0.8080 0.5000
Si46 0.3837 0.1920 0.5000
# Spin magnetization = 6.8 μB/cell
# E_form (uncorrected) = 144.1 meV/atom
# Final energy = -5.382 eV/atom

2.
# Pm2GePd5 | the Alexandria database | PBE | optimized geometry
data_Pm2GePd5
_space_group_name_H-M_alt 'P 1'
_space_group_IT_number 1
_cell_length_a 4.6710
_cell_length_b 6.0833
_cell_length_c 6.0833
_cell_angle_alpha 90.00
_cell_angle_beta 90.00
_cell_angle_gamma 90.00
loop_
_space_group_symop_operation_xyz
'x,y,z'
loop_
_atom_site_label
_atom_site_fract_x
_atom_site_fract_y
_atom_site_fract_z
Pm1 0.5000 0.5000 0.0000
Pm2 0.5000 0.0000 0.5000
Ge1 0.0000 0.0000 0.0000
Pd1 0.0000 0.7202 0.7202
Pd2 0.0000 0.2798 0.7202
Pd3 0.0000 0.7202 0.2798
Pd4 0.5000 0.0000 0.0000
Pd5 0.0000 0.2798 0.2798
# Spin magnetization = 0.0 μB/cell
# Energy of formation from the pure elements = -571 meV per atom
# Final energy = -5.581 eV/atom

3.
# DyYTiAl | the Alexandria database | PBE | optimized geometry
data_DyYTiAl
_space_group_name_H-M_alt 'P 1'
_space_group_IT_number 1
_cell_length_a 5.1479
_cell_length_b 5.1479
_cell_length_c 5.1479
_cell_angle_alpha 60.00
_cell_angle_beta 60.00
_cell_angle_gamma 60.00
loop_
_space_group_symop_operation_xyz
'x,y,z'
loop_
_atom_site_label
_atom_site_fract_x
_atom_site_fract_y
_atom_site_fract_z
Y1 0.5000 0.5000 0.5000
Ti1 0.2500 0.2500 0.2500
Al1 0.7500 0.7500 0.7500
Dy1 0.0000 0.0000 0.0000
# Spin magnetization = 2.5 μB/cell
# Energy of formation from the pure elements = -58 meV per atom
# Final energy = -5.734 eV/atom

4.
# KPaPd2O8 | the Alexandria database | PBE | optimized geometry
data_KPaPd2O8
_space_group_name_H-M_alt 'P 1'
_space_group_IT_number 1
_cell_length_a 5.7328
_cell_length_b 5.7328
_cell_length_c 7.4657
_cell_angle_alpha 90.00
_cell_angle_beta 90.00
_cell_angle_gamma 120.00
loop_
_space_group_symop_operation_xyz
'x,y,z'
loop_
_atom_site_label
_atom_site_fract_x
_atom_site_fract_y
_atom_site_fract_z
K1 0.0000 0.0000 0.5000
Pa1 0.0000 0.0000 0.0000
Pd1 0.6667 0.3333 0.0660
Pd2 0.3333 0.6667 0.9340
O1 0.9439 0.6341 0.8732
O2 0.3659 0.3098 0.8732
O3 0.6902 0.0561 0.8732
O4 0.0561 0.3659 0.1268
O5 0.6341 0.6902 0.1268
O6 0.3098 0.9439 0.1268
O7 0.6667 0.3333 0.3179
O8 0.3333 0.6667 0.6821
# Spin magnetization = 3.0 μB/cell
# E_form (uncorrected) = -834.0 meV/atom
# Final energy = -5.888 eV/atom

5.
# TmZrHg | the Alexandria database | PBE | optimized geometry
data_TmZrHg
_space_group_name_H-M_alt 'P 1'
_space_group_IT_number 1
_cell_length_a 3.4340
_cell_length_b 5.0178
_cell_length_c 5.0178
_cell_angle_alpha 120.00
_cell_angle_beta 90.00
_cell_angle_gamma 90.00
loop_
_space_group_symop_operation_xyz
'x,y,z'
loop_
_atom_site_label
_atom_site_fract_x
_atom_site_fract_y
_atom_site_fract_z
Tm1 0.6666 0.6667 0.3333
Hg1 0.1670 0.3333 0.6667
Zr1 0.1664 0.0000 0.0000
# Spin magnetization = 0.0 μB/cell
# Offset from the most stable computed form = 0.1880 eV per atom
# Energy of formation from the pure elements = -37 meV per atom
# Final energy = -4.477 eV/atom

6.
# NpSnPd3 | the Alexandria database | PBE | optimized geometry
data_NpSnPd3
_space_group_name_H-M_alt 'P 1'
_space_group_IT_number 1
_cell_length_a 5.1269
_cell_length_b 5.6367
_cell_length_c 7.3301
_cell_angle_alpha 67.39
_cell_angle_beta 90.00
_cell_angle_gamma 90.00
loop_
_space_group_symop_operation_xyz
'x,y,z'
loop_
_atom_site_label
_atom_site_fract_x
_atom_site_fract_y
_atom_site_fract_z
Np1 0.7500 0.5551 0.8897
Np2 0.2500 0.4449 0.1103
Sn1 0.7500 0.1839 0.6322
Sn2 0.2500 0.8161 0.3678
Pd1 0.7500 0.5976 0.2995
Pd2 0.7500 0.1029 0.2995
Pd3 0.2500 0.8971 0.7005
Pd4 0.2500 0.4024 0.7005
Pd5 0.0000 0.0000 0.0000
Pd6 0.5000 0.0000 0.0000
# Spin magnetization = 8.4 μB/cell
# Energy of formation from the pure elements = -353 meV per atom
# Final energy = -6.857 eV/atom